Material: Cs5CaI8
Method: DFT, GGA-PBE
State: relaxed

Cell lengths 9.753, 9.753, 9.753 Å; angles 110.32, 107.79, 110.32 degrees
Fractional coordinates of all 14 atoms:
Cs (0.979, 0.355, 0.102)
I (0.123, 0.699, 0.977)
I (0.023, 0.146, 0.722)
I (0.278, 0.301, 0.424)
Cs (0.376, 0.123, 0.021)
Ca (0.250, 0.500, 0.750)
I (0.816, 0.286, 0.409)
I (0.470, 0.593, 0.184)
I (0.123, 0.714, 0.530)
Cs (0.747, 0.645, 0.624)
Cs (0.898, 0.877, 0.253)
I (0.576, 0.854, 0.877)
I (0.591, 0.407, 0.877)
Cs (0.500, 0.000, 0.500)

Values from the calculation:
SG: I-4 (82)
density: 4.00 g/cm³
crystal system: tetragonal
VASP energy: -2.706 eV/atom


Material: NiH4
Method: DFT, GGA-PBE
State: relaxed

Cell lengths 3.146, 3.146, 3.146 Å; angles 90.00, 90.00, 90.00 degrees
Fractional coordinates of all 5 atoms:
H (0.500, 0.000, 0.500)
H (0.000, 0.000, 0.000)
H (0.000, 0.500, 0.500)
H (0.500, 0.500, 0.000)
Ni (0.500, 0.500, 0.500)

Values from the calculation:
SG: Pm-3m (221)
density: 3.34 g/cm³
crystal system: cubic
VASP energy: -3.185 eV/atom